# Ba2Si2Hg

A relaxed structure of Ba2Si2Hg (GGA-PBE, Alexandria).

excess energy over the best structure of this formula in the dataset	0.1110	eV/atom
energy relative to the elements, uncorrected	-0.30	eV/atom

a b c (Å): 8.6444 8.6444 4.4614
angles (deg): 90.00 90.00 90.00
Fractional coordinates of all 10 atoms:
Si (0.4080, 0.9080, 0.0000)
Si (0.9080, 0.5920, 0.0000)
Si (0.5920, 0.0920, 0.0000)
Si (0.0920, 0.4080, 0.0000)
Hg (0.0000, 0.0000, 0.0000)
Hg (0.5000, 0.5000, 0.0000)
Ba (0.1950, 0.6950, 0.5000)
Ba (0.6950, 0.8050, 0.5000)
Ba (0.8050, 0.3050, 0.5000)
Ba (0.3050, 0.1950, 0.5000)